Entry 1:
Here is a geometry-optimized Cs3FeS structure from Alexandria. Energies are from GGA-PBE.

Properties
DOS at the Fermi energy: 49.32 states/eV per cell
Total moment: 3.1 μB per formula unit
Calculated total energy: -2.863 eV per atom
Symmetry: Pm-3m, No. 221
Formation energy from raw total energies: 0.17 eV/atom

Cell: 6.750 6.750 6.750 Å, 90.00 90.00 90.00°
Fractional positions:
Cs: 0.000 0.000 0.500
Cs: 0.000 0.500 0.000
Cs: 0.500 0.000 0.000
Fe: 0.500 0.500 0.500
S: 0.000 0.000 0.000

***

Entry 2:
Here is a geometry-optimized CsFeS2 structure from Alexandria. Energies are from GGA-PBE.

Properties
DOS at the Fermi energy: 2.65 states/eV per cell
Total moment: 0.0 μB per formula unit
Calculated total energy: -4.966 eV per atom
Symmetry: I-4m2, No. 119
Formation energy from raw total energies: -0.57 eV/atom

Cell: 7.267 7.267 7.267 Å, 149.89 149.89 43.10°
Fractional positions:
Cs: 0.000 0.000 0.000
Fe: 0.250 0.750 0.500
S: 0.326 0.326 0.000
S: 0.674 0.674 0.000

***

Entry 3:
Here is a geometry-optimized CsFeS structure from Alexandria. Energies are from GGA-PBE.

Properties
DOS at the Fermi energy: 2.72 states/eV per cell
Total moment: 0.0 μB per formula unit
Calculated total energy: -4.985 eV per atom
Symmetry: P4/nmm, No. 129
Formation energy from raw total energies: -0.50 eV/atom

Cell: 3.776 3.776 11.772 Å, 90.00 90.00 90.00°
Fractional positions:
Cs: 0.250 0.250 0.220
Cs: 0.750 0.750 0.780
Fe: 0.250 0.750 0.500
Fe: 0.750 0.250 0.500
S: 0.250 0.250 0.598
S: 0.750 0.750 0.402

***

Entry 4:
Here is a geometry-optimized Cs3Fe2S4 structure from Alexandria. Energies are from GGA-PBE.

Properties
DOS at the Fermi energy: 4.21 states/eV per cell
Total moment: 8.9 μB per formula unit
Calculated total energy: -4.785 eV per atom
Symmetry: C2/c, No. 15
Formation energy from raw total energies: -0.78 eV/atom

Cell: 9.168 9.168 7.238 Å, 94.40 94.40 69.71°
Fractional positions:
Cs: 0.082 0.918 0.750
Cs: 0.241 0.520 0.455
Cs: 0.480 0.759 0.045
Cs: 0.520 0.241 0.955
Cs: 0.759 0.480 0.545
Cs: 0.918 0.082 0.250
Fe: 0.097 0.347 0.958
Fe: 0.347 0.097 0.458
Fe: 0.653 0.903 0.542
Fe: 0.903 0.653 0.042
S: 0.146 0.241 0.649
S: 0.166 0.570 0.986
S: 0.241 0.146 0.149
S: 0.430 0.834 0.514
S: 0.570 0.166 0.486
S: 0.759 0.854 0.851
S: 0.834 0.430 0.014
S: 0.854 0.759 0.351

***

Entry 5:
Here is a geometry-optimized CsFe3S structure from Alexandria. Energies are from GGA-PBE.

Properties
DOS at the Fermi energy: 4.96 states/eV per cell
Total moment: 7.0 μB per formula unit
Calculated total energy: -5.284 eV per atom
Symmetry: Pm-3m, No. 221
Formation energy from raw total energies: 0.79 eV/atom

Cell: 4.518 4.518 4.518 Å, 90.00 90.00 90.00°
Fractional positions:
Cs: 0.000 0.000 0.000
Fe: 0.000 0.500 0.500
Fe: 0.500 0.000 0.500
Fe: 0.500 0.500 0.000
S: 0.500 0.500 0.500

***

Entry 6:
Here is a geometry-optimized Cs3FeS3 structure from Alexandria. Energies are from GGA-PBE.

Properties
DOS at the Fermi energy: 11.83 states/eV per cell
Total moment: 4.0 μB per formula unit
Calculated total energy: -4.264 eV per atom
Symmetry: Cmce, No. 64
Formation energy from raw total energies: -0.92 eV/atom

Cell: 10.402 10.402 13.379 Å, 90.00 90.00 43.39°
Fractional positions:
Cs: 0.003 0.353 0.875
Cs: 0.116 0.884 0.818
Cs: 0.147 0.497 0.625
Cs: 0.353 0.003 0.125
Cs: 0.384 0.616 0.318
Cs: 0.497 0.147 0.375
Cs: 0.503 0.853 0.625
Cs: 0.616 0.384 0.682
Cs: 0.647 0.997 0.875
Cs: 0.853 0.503 0.375
Cs: 0.884 0.116 0.182
Cs: 0.997 0.647 0.125
Fe: 0.073 0.073 0.500
Fe: 0.427 0.427 0.000
Fe: 0.573 0.573 0.000
Fe: 0.927 0.927 0.500
S: 0.012 0.267 0.617
S: 0.206 0.794 0.561
S: 0.233 0.488 0.883
S: 0.267 0.012 0.383
S: 0.294 0.706 0.061
S: 0.488 0.233 0.117
S: 0.512 0.767 0.883
S: 0.706 0.294 0.939
S: 0.733 0.988 0.617
S: 0.767 0.512 0.117
S: 0.794 0.206 0.439
S: 0.988 0.733 0.383

***

Entry 7:
Here is a geometry-optimized CsFeS2 structure from Alexandria. Energies are from GGA-PBE.

Properties
DOS at the Fermi energy: 4.29 states/eV per cell
Total moment: 1.1 μB per formula unit
Calculated total energy: -4.616 eV per atom
Symmetry: R-3m, No. 166
Formation energy from raw total energies: -0.22 eV/atom

Cell: 8.889 8.889 8.889 Å, 23.03 23.03 23.03°
Fractional positions:
Cs: 0.000 0.000 0.000
Fe: 0.500 0.500 0.500
S: 0.124 0.124 0.124
S: 0.876 0.876 0.876

***

Entry 8:
Here is a geometry-optimized Cs2FeSiS4 structure from Alexandria. Energies are from GGA-PBE.

Properties
DOS at the Fermi energy: 4.25 states/eV per cell
Total moment: 4.0 μB per formula unit
Calculated total energy: -4.938 eV per atom
Symmetry: Fddd, No. 70
Formation energy from raw total energies: -0.93 eV/atom

Cell: 14.270 12.824 7.519 Å, 84.84 63.51 31.65°
Fractional positions:
Cs: 0.051 0.051 0.699
Cs: 0.301 0.301 0.949
Cs: 0.699 0.699 0.051
Cs: 0.949 0.949 0.301
Fe: 0.125 0.125 0.125
Fe: 0.875 0.875 0.875
Si: 0.375 0.375 0.375
Si: 0.625 0.625 0.625
S: 0.014 0.642 0.563
S: 0.281 0.563 0.642
S: 0.358 0.986 0.719
S: 0.437 0.719 0.986
S: 0.563 0.281 0.014
S: 0.642 0.014 0.281
S: 0.719 0.437 0.358
S: 0.986 0.358 0.437

***

Entry 9:
Here is a geometry-optimized Cs3U3FeS8 structure from Alexandria. Energies are from GGA-PBE.

Properties
DOS at the Fermi energy: 17.45 states/eV per cell
Total moment: 10.1 μB per formula unit
Calculated total energy: -6.380 eV per atom
Symmetry: R-3m, No. 166
Formation energy from raw total energies: -1.19 eV/atom

Cell: 9.415 9.415 9.415 Å, 49.77 49.77 49.77°
Fractional positions:
Cs: 0.000 0.500 0.500
Cs: 0.500 0.000 0.500
Cs: 0.500 0.500 0.000
U: 0.000 0.000 0.500
U: 0.000 0.500 0.000
U: 0.500 0.000 0.000
Fe: 0.500 0.500 0.500
S: 0.228 0.228 0.228
S: 0.231 0.720 0.720
S: 0.280 0.280 0.769
S: 0.280 0.769 0.280
S: 0.720 0.231 0.720
S: 0.720 0.720 0.231
S: 0.769 0.280 0.280
S: 0.772 0.772 0.772

***

Entry 10:
Here is a geometry-optimized Cs2UFe2S6 structure from Alexandria. Energies are from GGA-PBE.

Properties
DOS at the Fermi energy: 7.89 states/eV per cell
Total moment: 8.8 μB per formula unit
Calculated total energy: -5.847 eV per atom
Symmetry: R-3m, No. 166
Formation energy from raw total energies: -0.88 eV/atom

Cell: 7.770 7.770 7.770 Å, 56.57 56.57 56.57°
Fractional positions:
Cs: 0.237 0.237 0.237
Cs: 0.763 0.763 0.763
U: 0.000 0.000 0.000
Fe: 0.435 0.435 0.435
Fe: 0.565 0.565 0.565
S: 0.243 0.243 0.748
S: 0.243 0.748 0.243
S: 0.252 0.757 0.757
S: 0.748 0.243 0.243
S: 0.757 0.252 0.757
S: 0.757 0.757 0.252

***

Entry 11:
Here is a geometry-optimized CsZrFeS3 structure from Alexandria. Energies are from GGA-PBE.

Properties
DOS at the Fermi energy: 3.41 states/eV per cell
Total moment: 3.0 μB per formula unit
Calculated total energy: -6.250 eV per atom
Symmetry: P2_1/m, No. 11
Formation energy from raw total energies: -1.21 eV/atom

Cell: 9.236 3.751 9.734 Å, 90.00 116.06 90.00°
Fractional positions:
Cs: 0.227 0.250 0.252
Cs: 0.773 0.750 0.748
Zr: 0.319 0.750 0.840
Zr: 0.681 0.250 0.160
Fe: 0.070 0.250 0.600
Fe: 0.930 0.750 0.400
S: 0.132 0.250 0.855
S: 0.204 0.750 0.548
S: 0.475 0.750 0.143
S: 0.525 0.250 0.857
S: 0.796 0.250 0.452
S: 0.868 0.750 0.145

***

Entry 12:
Here is a geometry-optimized CsFe4Sb12 structure from Alexandria. Energies are from GGA-PBE.

Properties
DOS at the Fermi energy: 14.36 states/eV per cell
Total moment: 3.0 μB per formula unit
Calculated total energy: -5.008 eV per atom
Symmetry: Im-3, No. 204
Formation energy from raw total energies: -0.06 eV/atom

Cell: 8.037 8.037 8.037 Å, 109.47 109.47 109.47°
Fractional positions:
Cs: 0.000 0.000 0.000
Fe: 0.000 0.000 0.500
Fe: 0.000 0.500 0.000
Fe: 0.500 0.000 0.000
Fe: 0.500 0.500 0.500
Sb: 0.164 0.339 0.503
Sb: 0.164 0.661 0.824
Sb: 0.176 0.836 0.339
Sb: 0.339 0.176 0.836
Sb: 0.339 0.503 0.164
Sb: 0.497 0.836 0.661
Sb: 0.503 0.164 0.339
Sb: 0.661 0.497 0.836
Sb: 0.661 0.824 0.164
Sb: 0.824 0.164 0.661
Sb: 0.836 0.339 0.176
Sb: 0.836 0.661 0.497